(1)
The following is a PBE calculation of a relaxed AcZn6Cd6 crystal, from the Alexandria database.

abc: 7.3621 7.3621 7.3621
angles: 134.67 99.08 98.00
Atoms (fractional coordinates):
Ac (0.0000, 0.0000, 0.0000)
Zn (0.0000, 0.0000, 0.5000)
Zn (0.0000, 0.5000, 0.0000)
Zn (0.2254, 0.7254, 0.5000)
Zn (0.5000, 0.0000, 0.0000)
Zn (0.5000, 0.5000, 0.5000)
Zn (0.7746, 0.2746, 0.5000)
Cd (0.2085, 0.5000, 0.7085)
Cd (0.3488, 0.3488, 0.0000)
Cd (0.3513, 0.0000, 0.3513)
Cd (0.6487, 0.0000, 0.6487)
Cd (0.6512, 0.6512, 0.0000)
Cd (0.7915, 0.5000, 0.2915)

Summary:
V ... 20.140 Å³ per atom
E ... -1.45 eV per atom
SG ... Immm



(2)
The following is a PBE calculation of a relaxed AcZn4Cd4 crystal, from the Alexandria database.

abc: 6.9514 6.9514 6.9514
angles: 96.76 96.76 139.86
Atoms (fractional coordinates):
Ac (0.0000, 0.0000, 0.0000)
Zn (0.2841, 0.3789, 0.6630)
Zn (0.3789, 0.7159, 0.0948)
Zn (0.6211, 0.2841, 0.9052)
Zn (0.7159, 0.6211, 0.3370)
Cd (0.0987, 0.6274, 0.7261)
Cd (0.3726, 0.0987, 0.4713)
Cd (0.6274, 0.9013, 0.5287)
Cd (0.9013, 0.3726, 0.2739)

Summary:
V ... 22.598 Å³ per atom
E ... -1.49 eV per atom
SG ... I4/m



(3)
The following is a PBE calculation of a relaxed Ac8ZnCd2 crystal, from the Alexandria database.

abc: 10.4310 10.4310 7.6116
angles: 103.84 103.84 31.77
Atoms (fractional coordinates):
Ac (0.0209, 0.0209, 0.2737)
Ac (0.2022, 0.2022, 0.8079)
Ac (0.3404, 0.3404, 0.5316)
Ac (0.4089, 0.4089, 0.0470)
Ac (0.5911, 0.5911, 0.9530)
Ac (0.6596, 0.6596, 0.4684)
Ac (0.7978, 0.7978, 0.1921)
Ac (0.9791, 0.9791, 0.7263)
Zn (0.5000, 0.5000, 0.5000)
Cd (0.1849, 0.1849, 0.2298)
Cd (0.8151, 0.8151, 0.7702)

Summary:
V ... 38.392 Å³ per atom
E ... -3.37 eV per atom
SG ... C2/m



> Look up the E of the third one.

-3.37 eV per atom



> Which value of V does entry 2 give?

22.598 Å³ per atom



What did the third record say?
The following is a PBE calculation of a relaxed Ac8ZnCd2 crystal, from the Alexandria database.

abc: 10.4310 10.4310 7.6116
angles: 103.84 103.84 31.77
Atoms (fractional coordinates):
Ac (0.0209, 0.0209, 0.2737)
Ac (0.2022, 0.2022, 0.8079)
Ac (0.3404, 0.3404, 0.5316)
Ac (0.4089, 0.4089, 0.0470)
Ac (0.5911, 0.5911, 0.9530)
Ac (0.6596, 0.6596, 0.4684)
Ac (0.7978, 0.7978, 0.1921)
Ac (0.9791, 0.9791, 0.7263)
Zn (0.5000, 0.5000, 0.5000)
Cd (0.1849, 0.1849, 0.2298)
Cd (0.8151, 0.8151, 0.7702)

Summary:
V ... 38.392 Å³ per atom
E ... -3.37 eV per atom
SG ... C2/m